# Tc2OsRh

A relaxed structure of Tc2OsRh (PBE, Alexandria via LeMat-Bulk).

```
Tc2OsRh
1.0
-4.6729 7.1685 -3.0503
-6.2917 6.4815 -0.9663
-4.1224 8.0774 -0.5390
Os Tc Rh
1 2 1
Direct
0.5004 0.5004 0.5004
0.0003 0.0003 0.0003
0.2497 0.2497 0.2497
0.7496 0.7496 0.7496
```

offset from the most stable computed form: 0.150 eV per atom
uncorrected energy: -9.807 eV per atom
calculated density: 14.10 Mg/m³
E_form: 0.021 eV/atom

# Tc2OsRh

A relaxed structure of Tc2OsRh (PBE, Alexandria via LeMat-Bulk).

```
Tc2OsRh
1.0
-0.5878 -3.1841 0.4716
3.1077 -0.4366 0.9260
-1.4145 1.0367 5.2358
Os Tc Rh
1 2 1
Direct
0.5000 0.5000 0.2500
0.0000 0.0000 0.0087
0.0000 0.0000 0.4913
0.5000 0.5000 0.7500
```

offset from the most stable computed form: 0.493 eV per atom
uncorrected energy: -9.465 eV per atom
calculated density: 13.74 Mg/m³
E_form: 0.363 eV/atom